A relaxed LiH2Pb2 crystal, computed with GGA-PBE.

Lattice parameters (Å, degrees): 7.9121 7.9121 3.4466 90.00 90.00 90.00
Sites, in units of the cell vectors:
Li 0.0000 0.0000 0.0000
Li 0.5000 0.5000 0.0000
H 0.1184 0.3816 0.5000
H 0.3816 0.8816 0.5000
H 0.6184 0.1184 0.5000
H 0.8816 0.6184 0.5000
Pb 0.2249 0.2751 0.0000
Pb 0.2751 0.7751 0.0000
Pb 0.7249 0.2249 0.0000
Pb 0.7751 0.7249 0.0000

Values from the calculation:
offset from the most stable computed form = 0.225 eV per atom
DOS at the Fermi energy = 0.40 states/eV per atom